A plane-wave DFT calculation with meta-GGA SCAN was carried out for a PBEsol-optimized structure of CdGe3Pt.

For the total magnetization, the calculation gives 0.000 μB/cell. The calculation puts the formation energy at 0.3012 eV/atom. The density of states at the Fermi level comes out at 0.215 states/eV/atom.

The structure belongs to space group Pm-3m (No. 221); the cell edges are 4.853, 4.853 and 4.853 Å and the angles 90.00°, 90.00° and 90.00°. The inequivalent atoms are Cd at (0.000, 0.000, 0.000), Ge at (0.000, 0.500, 0.500) and Pt at (0.500, 0.500, 0.500).

=====

A plane-wave DFT calculation with meta-GGA SCAN was carried out for a PBEsol-optimized structure of CdGePt2S.

For the total magnetization, the calculation gives 0.000 μB/cell. The density of states at the Fermi level comes out at 0.595 states/eV/atom. As for the uncorrected formation energy: 0.45 eV per atom.

The structure belongs to space group P4/mmm (No. 123); the cell edges are 4.640, 4.640 and 4.686 Å and the angles 90.00°, 90.00° and 90.00°. The inequivalent atoms are Cd at (0.000, 0.000, 0.000), Ge at (0.500, 0.500, 0.500), Pt at (0.000, 0.500, 0.500) and S at (0.500, 0.500, 0.000).

=====

A plane-wave DFT calculation with meta-GGA SCAN was carried out for a PBEsol-optimized structure of RbCd2Ge2.

For the total magnetization, the calculation gives 0.000 μB/cell. The calculation puts the formation energy at -0.1096 eV/atom. The density of states at the Fermi level comes out at 0.267 states/eV/atom.

The structure belongs to space group I4/mmm (No. 139); the cell edges are 4.676, 4.676 and 11.160 Å and the angles 90.00°, 90.00° and 90.00°. The inequivalent atoms are Rb at (0.000, 0.000, 0.000), Cd at (0.000, 0.500, 0.250) and Ge at (0.000, 0.000, 0.387).